Hf3MgZr4N8 after structural relaxation, computed with GGA-PBE.

It has space group R-3m (No. 166, hexagonal axes), with a = 6.4297 Å, b = 6.4297 Å, c = 15.9156 Å, α = 90.00°, β = 90.00° and γ = 120.00°. Symmetry generates all atoms from Hf at (0.0000, 0.5000, 0.0000), Mg at (0.0000, 0.0000, 0.0000), Zr at (0.0000, 0.0000, 0.5000), Zr at (0.0000, 0.5000, 0.5000), N at (0.0000, 0.0000, 0.2544) and N at (0.0003, 0.5001, 0.2540).

The uncorrected formation energy is -1648.6 meV per atom. The density of states at the Fermi level is 13.8 states/eV/cell.